Density functional theory data (GGA-PBE) for crystalline VCdAu3 at its relaxed geometry.

The space group is Pm-3m (No. 221) and the conventional cell measures 4.973, 4.973 and 4.973 Å, with angles of 90.00, 90.00 and 90.00 degrees. The distinct sites, in fractional coordinates, are V at (0.000, 0.000, 0.000), Cd at (0.500, 0.500, 0.500) and Au at (0.000, 0.000, 0.500).

For the total DFT energy (no corrections), the calculation gives -3.271 eV per atom. As for the magnetic moment: 2.38 μB/cell. As for the formation energy from the elements: 0.70 eV per atom. The calculation puts the polymorph energy (0 for the lowest one) at 0 meV/atom.